[1]
A geometry-optimized Rb2FeWF6 structure, computed with GGA+U.

Computed properties:
DFT total energy = -98.595 eV for the cell shown
total magnetization = 15.504 μB per cell

Cell lengths 6.4275, 6.4275, 8.7200 Å; angles 90.00, 90.00, 90.00 degrees
Space group I4/mmm (No. 139)
Symmetry-distinct sites (fractional):
Rb 0.0000 0.5000 0.2500
Fe 0.0000 0.0000 0.0000
W 0.0000 0.0000 0.5000
F 0.0000 0.0000 0.2514
F 0.2360 0.2360 0.5000

***

[2]
A geometry-optimized FeRe3F structure, computed with GGA+U.

Computed properties:
DFT total energy = -37.177 eV for the cell shown
total magnetization = 2.064 μB per cell

Cell lengths 4.1936, 4.1936, 4.1936 Å; angles 90.00, 90.00, 90.00 degrees
Space group Pm-3m (No. 221)
Symmetry-distinct sites (fractional):
Fe 0.0000 0.0000 0.0000
Re 0.0000 0.5000 0.5000
F 0.5000 0.5000 0.5000

***

[3]
A geometry-optimized Fe2Re2F structure, computed with GGA+U.

Computed properties:
DFT total energy = -69.597 eV for the cell shown
total magnetization = 14.786 μB per cell

Cell lengths 3.5365, 3.5365, 14.0799 Å; angles 90.00, 90.00, 90.00 degrees
Space group I4/mmm (No. 139)
Symmetry-distinct sites (fractional):
Fe 0.0000 0.0000 0.1041
Re 0.0000 0.5000 0.2500
F 0.0000 0.0000 0.5000

***

[4]
A geometry-optimized FeReF6 structure, computed with GGA+U.

Computed properties:
DFT total energy = -93.626 eV for the cell shown
total magnetization = 14.000 μB per cell

Cell lengths 9.4779, 5.8072, 5.4055 Å; angles 90.00, 124.45, 90.00 degrees
Space group C2/m (No. 12)
Symmetry-distinct sites (fractional):
Fe 0.0000 0.0000 0.0000
Re 0.0000 0.5000 0.5000
F 0.0553 0.2580 0.8015
F 0.2415 0.5000 0.6274

***

[5]
A geometry-optimized Fe2Re4F structure, computed with GGA+U.

Computed properties:
DFT total energy = -104.006 eV for the cell shown
total magnetization = 13.178 μB per cell

Cell lengths 3.9803, 3.9803, 13.3817 Å; angles 90.00, 90.00, 90.00 degrees
Space group I4/mmm (No. 139)
Symmetry-distinct sites (fractional):
Fe 0.0000 0.0000 0.1370
Re 0.0000 0.0000 0.3181
Re 0.0000 0.5000 0.0000
F 0.0000 0.0000 0.5000

***

[6]
A geometry-optimized Fe3ReF structure, computed with GGA+U.

Computed properties:
DFT total energy = -23.722 eV for the cell shown
total magnetization = 10.126 μB per cell

Cell lengths 4.8015, 4.8015, 4.8015 Å; angles 90.00, 90.00, 90.00 degrees
Space group Pm-3m (No. 221)
Symmetry-distinct sites (fractional):
Fe 0.0000 0.0000 0.5000
Re 0.0000 0.0000 0.0000
F 0.5000 0.5000 0.5000

***

[7]
A geometry-optimized FeRe3F structure, computed with GGA+U.

Computed properties:
DFT total energy = -32.758 eV for the cell shown
total magnetization = 3.211 μB per cell

Cell lengths 4.4382, 4.4382, 4.4382 Å; angles 90.00, 90.00, 90.00 degrees
Space group Pm-3m (No. 221)
Symmetry-distinct sites (fractional):
Fe 0.0000 0.0000 0.0000
Re 0.0000 0.0000 0.5000
F 0.5000 0.5000 0.5000

***

[8]
A geometry-optimized Fe2Re2F structure, computed with GGA+U.

Computed properties:
DFT total energy = -59.652 eV for the cell shown
total magnetization = 0.000 μB per cell

Cell lengths 7.0926, 7.0926, 2.6463 Å; angles 90.00, 90.00, 90.00 degrees
Space group P4/mbm (No. 127)
Symmetry-distinct sites (fractional):
Fe 0.1296 0.3704 0.0000
Re 0.1610 0.6610 0.5000
F 0.0000 0.0000 0.0000